[1]
Below is a geometry-optimized Mn2NbAsH structure, with properties calculated at the GGA-PBE level.

a = 3.782 Å, b = 3.782 Å, c = 4.186 Å
α = 90.00°, β = 90.00°, γ = 90.00°
Space group P4/mmm (No. 123)
Asymmetric unit:
Mn1 0.000 0.500 0.000
Nb1 0.000 0.000 0.500
As1 0.500 0.500 0.500
H1 0.000 0.000 0.000

For the density of states at the Fermi level, the calculation gives 0.4237 states/eV per atom. The total DFT energy (no corrections) comes out at -7.42 eV/atom.

[2]
Below is a geometry-optimized MnNi2AsH structure, with properties calculated at the GGA-PBE level.

a = 3.641 Å, b = 3.641 Å, c = 3.887 Å
α = 90.00°, β = 90.00°, γ = 90.00°
Space group P4/mmm (No. 123)
Asymmetric unit:
Mn1 0.000 0.000 0.000
Ni1 0.000 0.500 0.500
As1 0.500 0.500 0.000
H1 0.000 0.000 0.500

For the density of states at the Fermi level, the calculation gives 0.7747 states/eV per atom. The total DFT energy (no corrections) comes out at -5.85 eV/atom.